Material: HoCo5As3
Method: DFT, PBE
State: optimized geometry

Cell: 3.699 11.869 11.687 Å, 90.00 90.00 90.00°
Space group Cmcm (No. 63)
Symmetry-distinct sites (fractional):
Ho1 0.000 0.156 0.250 x4
Co1 0.000 0.000 0.000 x4
Co2 0.000 0.195 0.570 x8
Co3 0.000 0.448 0.143 x8
As1 0.000 0.110 0.750 x4
As2 0.000 0.380 0.545 x8

## Properties
energy: -231.71 eV for the cell shown
formation energy: -0.430 eV per atom

---

Material: Pm2ThAu3
Method: DFT, PBE
State: optimized geometry

Cell: 3.673 3.673 11.234 Å, 90.00 90.00 90.00°
Space group P4/mmm (No. 123)
Symmetry-distinct sites (fractional):
Pm1 0.000 0.000 0.164 x2
Th1 0.000 0.000 0.500 x1
Au1 0.500 0.500 0.000 x1
Au2 0.500 0.500 0.328 x2

## Properties
energy: -30.98 eV for the cell shown
formation energy: -0.704 eV per atom

---

Material: TaIn2Ir
Method: DFT, PBE
State: optimized geometry

Cell: 3.0741 3.0741 27.6730 Å, 90.00 90.00 120.00°
Space group R-3m (No. 166, hexagonal axes)
Symmetry-distinct sites (fractional):
Ta1 0.0000 0.0000 0.0000 x3
In1 0.0000 0.0000 0.2449 x6
Ir1 0.0000 0.0000 0.5000 x3

## Properties
energy: -75.92 eV for the cell shown
formation energy: 0.221 eV per atom

---

Material: Tb2NdSm12
Method: DFT, PBE
State: optimized geometry

Cell: 7.150 11.522 24.929 Å, 90.00 90.00 90.00°
Space group Cmme (No. 67)
Symmetry-distinct sites (fractional):
Tb1 0.000 0.250 0.228 x4
Tb2 0.000 0.250 0.767 x4
Nd1 0.000 0.250 0.499 x4
Sm1 0.000 0.002 0.577 x8
Sm2 0.000 0.023 0.060 x8
Sm3 0.232 0.250 0.915 x8
Sm4 0.248 0.250 0.369 x8
Sm5 0.250 0.000 0.174 x8
Sm6 0.250 0.000 0.300 x8

## Properties
energy: -273.16 eV for the cell shown
formation energy: 0.158 eV per atom

---

Material: Tb2MgSc
Method: DFT, PBE
State: optimized geometry

Cell: 7.622 7.622 7.622 Å, 90.00 90.00 90.00°
Space group Fm-3m (No. 225)
Symmetry-distinct sites (fractional):
Tb1 0.250 0.250 0.250 x8
Mg1 0.000 0.000 0.000 x4
Sc1 0.000 0.000 0.500 x4

## Properties
energy: -68.38 eV for the cell shown
formation energy: 0.023 eV per atom

---

Material: Mg3Zr5
Method: DFT, PBE
State: optimized geometry

Cell: 3.178 6.382 9.051 Å, 90.00 90.00 90.00°
Space group Pmm2 (No. 25)
Symmetry-distinct sites (fractional):
Mg1 0.000 0.000 0.000 x1
Mg2 0.500 0.253 0.240 x2
Zr1 0.000 0.000 0.497 x1
Zr2 0.000 0.500 0.500 x1
Zr3 0.000 0.500 0.986 x1
Zr4 0.500 0.252 0.745 x2

## Properties
energy: -47.34 eV for the cell shown
formation energy: 0.023 eV per atom

---

- The lowest formation energy belongs to which entry?
  Pm2ThAu3

---

- Look up the formation energy of the sixth one.
  0.023 eV per atom

---

What did the first record say?
Material: HoCo5As3
Method: DFT, PBE
State: optimized geometry

Cell: 3.699 11.869 11.687 Å, 90.00 90.00 90.00°
Space group Cmcm (No. 63)
Symmetry-distinct sites (fractional):
Ho1 0.000 0.156 0.250 x4
Co1 0.000 0.000 0.000 x4
Co2 0.000 0.195 0.570 x8
Co3 0.000 0.448 0.143 x8
As1 0.000 0.110 0.750 x4
As2 0.000 0.380 0.545 x8

## Properties
energy: -231.71 eV for the cell shown
formation energy: -0.430 eV per atom

---

- What is the energy in the sixth record?
  -47.34 eV for the cell shown